No. 1
The following is a DFT calculation (PBE) of MgCrNi2 after structural relaxation.

Cell lengths 4.7160, 4.7160, 4.7160 Å; angles 134.55, 134.55, 66.23 degrees
Last column: nearest neighbours and their distance in Å.
Positions (direct):
Ni 0.0000 0.0000 0.0000  4 Cr 2.58, 4 Ni 2.69, 4 Mg 2.69
Mg 0.7500 0.2500 0.5000  8 Ni 2.58-2.69, 4 Cr 2.69
Cr 0.5000 0.5000 0.0000  8 Ni 2.58-2.69, 4 Mg 2.69
Ni 0.2500 0.7500 0.5000  4 Mg 2.58, 4 Ni 2.69, 4 Cr 2.69

The density of states at the Fermi level is 1.38 states/eV per atom. As for the energy of formation: 0.140 eV per atom. The calculation puts the total DFT energy (no corrections) at -22.22 eV per formula unit.

No. 2
The following is a DFT calculation (PBE) of Al3Pd12W after structural relaxation.

Cell lengths 3.9134, 3.9134, 15.7089 Å; angles 90.00, 90.00, 90.00 degrees
Last column: nearest neighbours and their distance in Å.
Positions (direct):
Pd 0.5000 0.5000 0.5000  4 Al 2.77, 8 Pd 2.77
Pd 0.0000 0.5000 0.3753  4 Al 2.66-2.77, 8 Pd 2.77-2.79
Pd 0.0000 0.5000 0.6247  4 Al 2.66-2.77, 8 Pd 2.77-2.79
W 0.0000 0.0000 0.0000  12 Pd 2.74-2.77
Pd 0.5000 0.0000 0.1221  2 W 2.74, 8 Pd 2.74-2.79, 2 Al 2.92
Pd 0.5000 0.0000 0.3753  4 Al 2.66-2.77, 8 Pd 2.77-2.79
Pd 0.0000 0.5000 0.1221  2 W 2.74, 8 Pd 2.74-2.79, 2 Al 2.92
Pd 0.0000 0.5000 0.8779  2 W 2.74, 8 Pd 2.74-2.79, 2 Al 2.92
Al 0.0000 0.0000 0.7397  12 Pd 2.66-2.92
Al 0.0000 0.0000 0.2603  12 Pd 2.66-2.92
Pd 0.5000 0.0000 0.8779  2 W 2.74, 8 Pd 2.74-2.79, 2 Al 2.92
Pd 0.5000 0.5000 0.7516  4 Al 2.77, 8 Pd 2.79
Al 0.0000 0.0000 0.5000  12 Pd 2.77
Pd 0.5000 0.5000 0.0000  8 Pd 2.74, 4 W 2.77
Pd 0.5000 0.0000 0.6247  4 Al 2.66-2.77, 8 Pd 2.77-2.79
Pd 0.5000 0.5000 0.2484  4 Al 2.77, 8 Pd 2.79

The density of states at the Fermi level is 0.47 states/eV per atom. As for the energy of formation: -0.486 eV per atom. The calculation puts the total DFT energy (no corrections) at -94.27 eV per formula unit.

No. 3
The following is a DFT calculation (PBE) of CsMg2InRh after structural relaxation.

Cell lengths 5.2587, 5.2587, 5.2755 Å; angles 90.00, 90.00, 90.00 degrees
Last column: nearest neighbours and their distance in Å.
Positions (direct):
Mg 0.5000 0.0000 0.0000  2 Rh 2.63
Cs 0.5000 0.5000 0.5000  4 In 3.72, 8 Mg 3.72
In 0.0000 0.0000 0.5000  2 Rh 2.64
Rh 0.0000 0.0000 0.0000  4 Mg 2.63, 2 In 2.64
Mg 0.0000 0.5000 0.0000  2 Rh 2.63

The density of states at the Fermi level is 0.36 states/eV per atom. As for the energy of formation: -0.164 eV per atom. The calculation puts the total DFT energy (no corrections) at -14.95 eV per formula unit.

No. 4
The following is a DFT calculation (PBE) of Ho2Zn12Ga5 after structural relaxation.

Cell lengths 6.8800, 6.8800, 6.8800 Å; angles 85.30, 85.30, 85.30 degrees
Last column: nearest neighbours and their distance in Å.
Positions (direct):
Ga 0.0000 0.5000 0.0000  8 Zn 2.62-2.77, 2 Ga 2.83
Zn 0.6511 0.6511 0.1780  6 Zn 2.55-2.70, 2 Ga 2.77
Ho 0.3318 0.3318 0.3318  1 Ga 2.99, 9 Zn 3.17-3.29
Ga 0.0991 0.0991 0.0991  4 Ga 2.55-2.83
Zn 0.0000 0.3213 0.6787  2 Ga 2.62, 4 Zn 2.65-2.70
Ga 0.0000 0.0000 0.5000  8 Zn 2.62-2.77, 2 Ga 2.83
Zn 0.3489 0.3489 0.8220  6 Zn 2.55-2.70, 2 Ga 2.77
Zn 0.3213 0.0000 0.6787  2 Ga 2.62, 4 Zn 2.65-2.70
Zn 0.6511 0.1780 0.6511  6 Zn 2.55-2.70, 2 Ga 2.77
Zn 0.0000 0.6787 0.3213  2 Ga 2.62, 4 Zn 2.65-2.70
Zn 0.8220 0.3489 0.3489  6 Zn 2.55-2.70, 2 Ga 2.77
Zn 0.6787 0.0000 0.3213  2 Ga 2.62, 4 Zn 2.65-2.70
Zn 0.3489 0.8220 0.3489  6 Zn 2.55-2.70, 2 Ga 2.77
Zn 0.6787 0.3213 0.0000  2 Ga 2.62, 4 Zn 2.65-2.70
Ga 0.9009 0.9009 0.9009  4 Ga 2.55-2.83
Zn 0.1780 0.6511 0.6511  6 Zn 2.55-2.70, 2 Ga 2.77
Zn 0.3213 0.6787 0.0000  2 Ga 2.62, 4 Zn 2.65-2.70
Ga 0.5000 0.0000 0.0000  8 Zn 2.62-2.77, 2 Ga 2.83
Ho 0.6682 0.6682 0.6682  1 Ga 2.99, 9 Zn 3.17-3.29

The density of states at the Fermi level is 0.42 states/eV per atom. As for the energy of formation: -0.166 eV per atom. The calculation puts the total DFT energy (no corrections) at -42.73 eV per formula unit.

No. 5
The following is a DFT calculation (PBE) of Zr6TcPd after structural relaxation.

Cell lengths 7.4813, 5.7831, 5.6381 Å; angles 81.85, 67.18, 48.23 degrees
Last column: nearest neighbours and their distance in Å.
Positions (direct):
Tc 0.0000 0.0000 0.0000  6 Zr 2.76-2.77
Pd 0.5000 0.5000 0.5000  6 Zr 2.93-3.08, 2 Tc 3.17
Zr 0.8613 0.9042 0.6599  1 Tc 2.77, 4 Zr 2.89-3.09, 1 Pd 2.93
Zr 0.7551 0.7749 0.2444  1 Tc 2.77, 4 Zr 3.07-3.09, 1 Pd 3.08
Zr 0.6604 0.5734 0.8621  1 Tc 2.76, 4 Zr 2.89-3.08, 1 Pd 2.93
Zr 0.1387 0.0958 0.3401  1 Tc 2.77, 4 Zr 2.89-3.09, 1 Pd 2.93
Zr 0.2449 0.2251 0.7556  1 Tc 2.77, 4 Zr 3.07-3.09, 1 Pd 3.08
Zr 0.3396 0.4266 0.1379  1 Tc 2.76, 4 Zr 2.89-3.08, 1 Pd 2.93

The density of states at the Fermi level is 0.94 states/eV per atom. As for the energy of formation: -0.158 eV per atom. The calculation puts the energy above the most stable polymorph in this dataset at 0.80 eV per formula unit. The calculation puts the total DFT energy (no corrections) at -68.11 eV per formula unit.

No. 6
The following is a DFT calculation (PBE) of MgPd4Au3 after structural relaxation.

Cell lengths 6.0068, 6.0068, 6.0068 Å; angles 79.78, 126.44, 125.70 degrees
Last column: nearest neighbours and their distance in Å.
Positions (direct):
Pd 0.0845 0.7518 0.3327  6 Pd 2.72-3.02, 1 Mg 2.97, 5 Au 2.97-3.04
Au 0.8384 0.0000 0.8384  4 Pd 2.69-3.00, 2 Au 2.74, 2 Mg 2.74
Pd 0.0836 0.7461 0.8297  1 Mg 2.60, 5 Au 2.69-2.74
Pd 0.5809 0.2482 0.3327  6 Pd 2.72-3.02, 1 Mg 2.97, 5 Au 2.97-3.04
Pd 0.0836 0.2539 0.3375  1 Mg 2.60, 5 Au 2.69-2.74
Mg 0.3180 0.5000 0.8180  2 Pd 2.60, 4 Au 2.66-2.74
Au 0.5810 0.2560 0.8370  1 Mg 2.66, 6 Pd 2.69-2.97, 1 Au 2.74
Au 0.5810 0.7440 0.3249  1 Mg 2.66, 6 Pd 2.69-2.97, 1 Au 2.74

The density of states at the Fermi level is 0.43 states/eV per atom. As for the energy of formation: -0.163 eV per atom. The calculation puts the energy above the most stable polymorph in this dataset at 1.18 eV per formula unit. The calculation puts the total DFT energy (no corrections) at -33.50 eV per formula unit.

No. 7
The following is a DFT calculation (PBE) of Li2SmIn after structural relaxation.

Cell lengths 3.6685, 3.6685, 6.8504 Å; angles 90.00, 90.00, 90.00 degrees
Last column: nearest neighbours and their distance in Å.
Positions (direct):
In 0.5000 0.5000 0.0000  8 Li 2.95
Li 0.0000 0.0000 0.7959  1 Li 2.80, 4 In 2.95
Sm 0.5000 0.5000 0.5000  8 Li 3.29, 2 In 3.43, 4 Sm 3.67
Li 0.0000 0.0000 0.2041  1 Li 2.80, 4 In 2.95

The density of states at the Fermi level is 0.63 states/eV per atom. As for the energy of formation: -0.098 eV per atom. The calculation puts the energy above the most stable polymorph in this dataset at 0.83 eV per formula unit. The calculation puts the total DFT energy (no corrections) at -11.68 eV per formula unit.

No. 8
The following is a DFT calculation (PBE) of Dy6YSc after structural relaxation.

Cell lengths 6.6943, 6.4512, 6.9636 Å; angles 104.49, 59.63, 91.97 degrees
Last column: nearest neighbours and their distance in Å.
Positions (direct):
Dy 0.5626 0.7738 0.5345  6 Dy 3.28-3.60, 1 Y 3.40, 1 Sc 3.53
Dy 0.4475 0.2471 0.9951  6 Dy 3.26-3.60, 1 Sc 3.33, 1 Y 3.44
Dy 0.0914 0.7386 0.4922  6 Dy 3.26-3.58, 1 Sc 3.26
Dy 0.4374 0.2262 0.4655  6 Dy 3.28-3.60, 1 Y 3.40, 1 Sc 3.53
Sc 0.0000 0.0000 0.0000  2 Y 3.23, 6 Dy 3.26-3.53
Dy 0.5525 0.7529 0.0049  6 Dy 3.26-3.60, 1 Sc 3.33, 1 Y 3.44
Dy 0.9086 0.2614 0.5078  6 Dy 3.26-3.58, 1 Sc 3.26
Y 0.0000 0.5000 0.0000  2 Sc 3.23, 4 Dy 3.40-3.44

The density of states at the Fermi level is 1.69 states/eV per atom. As for the energy of formation: 0.205 eV per atom. The calculation puts the energy above the most stable polymorph in this dataset at 1.37 eV per formula unit. The calculation puts the total DFT energy (no corrections) at -38.77 eV per formula unit.

No. 9
The following is a DFT calculation (PBE) of Cd2PtF after structural relaxation.

Cell lengths 4.6189, 4.6189, 4.6189 Å; angles 60.00, 60.00, 60.00 degrees
Last column: nearest neighbours and their distance in Å.
Positions (direct):
Pt 0.5000 0.5000 0.5000  8 Cd 2.83
Cd 0.2500 0.2500 0.2500  4 Pt 2.83, 4 F 2.83
Cd 0.7500 0.7500 0.7500  4 F 2.83, 4 Pt 2.83
F 0.0000 0.0000 0.0000  8 Cd 2.83

The density of states at the Fermi level is 0.42 states/eV per atom. For the uncorrected formation energy, the calculation gives -0.63 eV/atom. The calculation puts the energy above the most stable polymorph in this dataset at 0.24 eV per formula unit. The calculation puts the total DFT energy (no corrections) at -12.28 eV per formula unit.

No. 10
The following is a DFT calculation (PBE) of NaMn2Pt2 after structural relaxation.

Cell lengths 7.7467, 7.7467, 2.8353 Å; angles 90.00, 90.00, 90.00 degrees
Last column: nearest neighbours and their distance in Å.
Positions (direct):
Pt 0.1473 0.3527 0.0000  6 Mn 2.67-2.68, 2 Pt 2.84, 2 Na 2.96
Mn 0.8539 0.3539 0.5000  6 Pt 2.67-2.68, 2 Mn 2.84
Pt 0.6473 0.1473 0.0000  6 Mn 2.67-2.68, 2 Pt 2.84, 2 Na 2.96
Pt 0.8527 0.6473 0.0000  6 Mn 2.67-2.68, 2 Pt 2.84, 2 Na 2.96
Pt 0.3527 0.8527 0.0000  6 Mn 2.67-2.68, 2 Pt 2.84, 2 Na 2.96
Mn 0.6461 0.8539 0.5000  6 Pt 2.67-2.68, 2 Mn 2.84
Na 0.0000 0.0000 0.0000  2 Na 2.84, 4 Pt 2.96
Na 0.5000 0.5000 0.0000  2 Na 2.84, 4 Pt 2.96
Mn 0.3539 0.1461 0.5000  6 Pt 2.67-2.68, 2 Mn 2.84
Mn 0.1461 0.6461 0.5000  6 Pt 2.67-2.68, 2 Mn 2.84

The density of states at the Fermi level is 0.40 states/eV per atom. As for the energy of formation: -0.217 eV per atom. The calculation puts the energy above the most stable polymorph in this dataset at 0.00 eV per formula unit. The calculation puts the total DFT energy (no corrections) at -32.82 eV per formula unit.

No. 11
The following is a DFT calculation (PBE) of UCdS after structural relaxation.

Cell lengths 4.0533, 3.7684, 17.4177 Å; angles 90.00, 90.00, 90.00 degrees
Last column: nearest neighbours and their distance in Å.
Positions (direct):
Cd 0.2500 0.2500 0.4985  4 Cd 2.77
S 0.7489 0.2500 0.3292  5 U 2.75-2.77
S 0.7511 0.2500 0.8292  5 U 2.75-2.77
Cd 0.2500 0.2500 0.9985  4 Cd 2.77
S 0.2489 0.7500 0.1708  5 U 2.75-2.77
U 0.7489 0.2500 0.1715  5 S 2.75-2.77
U 0.2511 0.7500 0.8285  5 S 2.75-2.77
S 0.2511 0.7500 0.6708  5 U 2.75-2.77
Cd 0.7500 0.7500 0.5015  4 Cd 2.77
U 0.2489 0.7500 0.3285  5 S 2.75-2.77
U 0.7511 0.2500 0.6715  5 S 2.75-2.77
Cd 0.7500 0.7500 0.0015  4 Cd 2.77

The density of states at the Fermi level is 2.21 states/eV per atom. For the uncorrected formation energy, the calculation gives -0.69 eV/atom. The calculation puts the total DFT energy (no corrections) at -18.40 eV per formula unit.

No. 12
The following is a DFT calculation (PBE) of RbFe2AuI8 after structural relaxation.

Cell lengths 7.3748, 7.3748, 11.2648 Å; angles 79.23, 79.23, 75.05 degrees
Last column: nearest neighbours and their distance in Å.
Positions (direct):
I 0.2958 0.2958 0.5782  1 Fe 2.53
I 0.7042 0.7042 0.4218  1 Fe 2.53
I 0.2779 0.7377 0.7650  1 Fe 2.55
I 0.2623 0.7221 0.2350  1 Fe 2.55
Fe 0.3804 0.3804 0.7651  4 I 2.53-2.65
I 0.7221 0.2623 0.2350  1 Fe 2.55
Rb 0.0000 0.0000 0.5000  6 I 3.77-3.87
I 0.2287 0.2287 0.9808  1 Au 2.63, 1 Fe 2.65
Au 0.0000 0.0000 0.0000  2 I 2.63
I 0.7377 0.2779 0.7650  1 Fe 2.55
I 0.7713 0.7713 0.0192  1 Au 2.63, 1 Fe 2.65
Fe 0.6196 0.6196 0.2349  4 I 2.53-2.65

For the uncorrected formation energy, the calculation gives -0.35 eV/atom. The calculation puts the total DFT energy (no corrections) at -37.76 eV per formula unit.

Q: Which formula does entry 6 have?
A: MgPd4Au3

Q: total DFT energy (no corrections) of number 4 (Ho2Zn12Ga5)?
A: -42.73 eV per formula unit

Q: What is the total DFT energy (no corrections) in the twelfth record?
A: -37.76 eV per formula unit